No. 1
PBE ZrTeI2N, optimized geometry; M_tot = 0.00 μB per cell; VASP energy = -3.79 eV/atom
1.0
4.8885 0.0000 0.0000
0.0000 4.8885 0.0000
0.0000 0.0000 4.9005
Zr Te I N
1 1 2 1
Direct
0.0000 0.0000 0.0000
0.5000 0.5000 0.0000
0.0000 0.5000 0.5000
0.5000 0.0000 0.5000
0.5000 0.5000 0.5000

No. 2
PBE ZrTe2IN, optimized geometry; M_tot = 1.53 μB per cell; VASP energy = -3.82 eV/atom
1.0
5.8424 0.0000 0.0000
0.0000 5.8424 0.0000
0.0000 0.0000 3.9380
Zr Te I N
1 2 1 1
Direct
0.0000 0.0000 0.0000
0.0000 0.5000 0.5000
0.5000 0.0000 0.5000
0.5000 0.5000 0.5000
0.5000 0.5000 0.0000

No. 3
PBE ZrTeI2N, optimized geometry; M_tot = 2.39 μB per cell; VASP energy = -3.68 eV/atom
1.0
6.2117 0.0000 0.0000
0.0000 6.2117 0.0000
0.0000 0.0000 3.9520
Zr Te I N
1 1 2 1
Direct
0.0000 0.0000 0.0000
0.5000 0.5000 0.5000
0.0000 0.5000 0.5000
0.5000 0.0000 0.5000
0.5000 0.5000 0.0000

No. 4
PBE ZrTeIN2, optimized geometry; M_tot = 0.59 μB per cell; VASP energy = -5.36 eV/atom
1.0
4.2912 0.0000 0.0000
0.0000 4.2912 0.0000
0.0000 0.0000 6.2580
Zr Te I N
1 1 1 2
Direct
0.0000 0.0000 0.0000
0.5000 0.5000 0.5000
0.0000 0.0000 0.5000
0.0000 0.5000 0.0000
0.5000 0.0000 0.0000

No. 5
PBE ZrTe2IN, optimized geometry; M_tot = 0.00 μB per cell; VASP energy = -4.83 eV/atom
1.0
5.8971 0.0000 0.0000
0.0000 5.8971 0.0000
0.0000 0.0000 4.0363
Zr Te I N
1 2 1 1
Direct
0.0000 0.0000 0.0000
0.0000 0.5000 0.0000
0.5000 0.0000 0.0000
0.5000 0.5000 0.5000
0.0000 0.0000 0.5000

No. 6
PBE ZrTeIN2, optimized geometry; M_tot = 0.00 μB per cell; VASP energy = -4.49 eV/atom
1.0
4.1456 0.0000 0.0000
0.0000 4.1456 0.0000
0.0000 0.0000 6.0105
Zr Te I N
1 1 1 2
Direct
0.0000 0.0000 0.0000
0.5000 0.5000 0.5000
0.5000 0.5000 0.0000
0.0000 0.5000 0.5000
0.5000 0.0000 0.5000

No. 7
PBE ZrTe2IN, optimized geometry; M_tot = 0.00 μB per cell; VASP energy = -4.32 eV/atom
1.0
4.8981 0.0000 0.0000
0.0000 4.8981 0.0000
0.0000 0.0000 4.6863
Zr Te I N
1 2 1 1
Direct
0.0000 0.0000 0.0000
0.0000 0.5000 0.5000
0.5000 0.0000 0.5000
0.5000 0.5000 0.0000
0.5000 0.5000 0.5000

No. 8
PBE ZrTeIN2, optimized geometry; M_tot = 0.00 μB per cell; VASP energy = -4.37 eV/atom
1.0
4.1636 0.0000 0.0000
0.0000 4.1636 0.0000
0.0000 0.0000 5.8391
Zr Te I N
1 1 1 2
Direct
0.0000 0.0000 0.0000
0.5000 0.5000 0.0000
0.5000 0.5000 0.5000
0.0000 0.5000 0.5000
0.5000 0.0000 0.5000

no.,E_form (uncorrected) (eV per atom)
1,0.837
2,1.119
3,0.943
4,0.616
5,0.115
6,1.484
7,0.623
8,1.609